The following is a PBE-GGA calculation of CaScRe2 after structural relaxation, from the Alexandria database.

For the formation energy, the calculation gives 1.31 eV/f.u. The calculated total energy is -31.92 eV/cell.

The space group is Pm (No. 6) and the conventional cell measures 3.025, 4.159 and 6.883 Å, with angles of 90.00, 102.30 and 90.00 degrees. The distinct sites, in fractional coordinates, are Ca at (0.000, 0.000, 0.000), Sc at (0.446, 0.500, 0.646), Re at (0.561, 0.500, 0.286) and Re at (0.937, 0.000, 0.431).